! Ho4MgCo | Alexandria | PBE | optimized geometry; values from VASP
&SYSTEM
  ibrav = 0, nat = 12, ntyp = 3
/
ATOMIC_SPECIES
Ho 164.93 Ho.upf
Mg 24.30 Mg.upf
Co 58.93 Co.upf
ATOMIC_POSITIONS crystal
Ho 0.3947 0.9415 0.6736
Ho 0.9254 0.8082 0.1725
Ho 0.2211 0.2679 0.3264
Ho 0.2530 0.6358 0.8275
Ho 0.6053 0.0585 0.3264
Ho 0.7789 0.7321 0.6736
Ho 0.0746 0.1918 0.8275
Ho 0.7470 0.3642 0.1725
Mg 0.3710 0.6210 0.2420
Mg 0.6290 0.3790 0.7580
Co 0.7511 0.0011 0.0022
Co 0.2489 0.9989 0.9978
CELL_PARAMETERS angstrom
5.9027 -0.9222 0.0000
-1.9903 8.9313 0.0000
-1.9562 -4.0045 6.2816
! Distance to the lowest polymorph of the same formula: 70 meV/atom
! Raw total energy: -4.590 eV/atom
! DOS(E_F): 14.51 states/eV per cell
! Energy of formation: -89 meV per atom

=====

! Ho2MgCo | Alexandria | PBE | optimized geometry; values from VASP
&SYSTEM
  ibrav = 0, nat = 4, ntyp = 3
/
ATOMIC_SPECIES
Ho 164.93 Ho.upf
Mg 24.30 Mg.upf
Co 58.93 Co.upf
ATOMIC_POSITIONS crystal
Ho 0.0590 0.0590 0.8231
Ho 0.2743 0.2743 0.1770
Mg 0.5006 0.5006 0.4981
Co 0.6661 0.6661 0.0018
CELL_PARAMETERS angstrom
-3.1499 -1.5539 -1.3492
-1.3143 -3.1915 1.4979
-6.0520 2.8843 5.5609
! Raw total energy: -4.490 eV/atom
! DOS(E_F): 2.67 states/eV per cell
! Energy of formation: -26 meV per atom

=====

! Ho6Mg3Co | Alexandria | PBE | optimized geometry; values from VASP
&SYSTEM
  ibrav = 0, nat = 20, ntyp = 3
/
ATOMIC_SPECIES
Ho 164.93 Ho.upf
Mg 24.30 Mg.upf
Co 58.93 Co.upf
ATOMIC_POSITIONS crystal
Ho 0.4998 0.1542 0.9305
Ho 0.4999 0.2028 0.5963
Ho 0.4998 0.4746 0.2730
Ho 0.5002 0.5254 0.7270
Ho 0.5001 0.7972 0.4037
Ho 0.5002 0.8458 0.0695
Ho 0.9998 0.3458 0.4305
Ho 0.9999 0.2972 0.0963
Ho 0.9998 0.0254 0.7730
Ho 0.0002 0.9746 0.2270
Ho 0.0001 0.7028 0.9037
Ho 0.0002 0.6542 0.5695
Mg 0.4999 0.8551 0.7132
Mg 0.5000 0.5000 0.0000
Mg 0.5001 0.1449 0.2868
Mg 0.9999 0.6449 0.2132
Mg 0.0000 0.0000 0.5000
Mg 0.0001 0.3551 0.7868
Co 0.5000 0.5000 0.5000
Co 0.0000 0.0000 0.0000
CELL_PARAMETERS angstrom
-4.5553 1.5345 1.8846
-3.9608 -1.5385 -8.3213
-2.2630 -10.3983 2.9997
! Raw total energy: -3.947 eV/atom
! DOS(E_F): 15.42 states/eV per cell
! Energy of formation: -12 meV per atom

=====

! Ho3Mg3Co | Alexandria | PBE | optimized geometry; values from VASP
&SYSTEM
  ibrav = 0, nat = 28, ntyp = 3
/
ATOMIC_SPECIES
Ho 164.93 Ho.upf
Mg 24.30 Mg.upf
Co 58.93 Co.upf
ATOMIC_POSITIONS crystal
Ho 0.0560 0.4440 0.0560
Ho 0.1940 0.1940 0.8060
Ho 0.8060 0.8060 0.1940
Ho 0.8060 0.1940 0.8060
Ho 0.8060 0.1940 0.1940
Ho 0.1940 0.8060 0.8060
Ho 0.4440 0.0560 0.0560
Ho 0.0560 0.0560 0.4440
Ho 0.4440 0.4440 0.0560
Ho 0.0560 0.4440 0.4440
Ho 0.1940 0.8060 0.1940
Ho 0.4440 0.0560 0.4440
Mg 0.8303 0.8303 0.8303
Mg 0.4197 0.4197 0.7408
Mg 0.4197 0.7408 0.4197
Mg 0.7408 0.4197 0.4197
Mg 0.8303 0.5092 0.8303
Mg 0.5092 0.8303 0.8303
Mg 0.8303 0.8303 0.5092
Mg 0.4197 0.4197 0.4197
Mg 0.6250 0.6250 0.6250
Mg 0.6250 0.6250 0.1250
Mg 0.6250 0.1250 0.6250
Mg 0.1250 0.6250 0.6250
Co 0.1250 0.1250 0.1250
Co 0.1250 0.1250 0.6250
Co 0.1250 0.6250 0.1250
Co 0.6250 0.1250 0.1250
CELL_PARAMETERS angstrom
8.6320 0.0000 4.9837
2.8773 8.1383 4.9837
0.0000 0.0000 9.9673
! Raw total energy: -3.785 eV/atom
! DOS(E_F): 26.08 states/eV per cell
! Energy of formation: -124 meV per atom

=====

! Ho3MgCo8 | Alexandria | PBE | optimized geometry; values from VASP
&SYSTEM
  ibrav = 0, nat = 12, ntyp = 3
/
ATOMIC_SPECIES
Ho 164.93 Ho.upf
Mg 24.30 Mg.upf
Co 58.93 Co.upf
ATOMIC_POSITIONS crystal
Ho 0.3758 0.3758 0.8727
Ho 0.9962 0.9962 0.0113
Ho 0.5030 0.5030 0.4911
Mg 0.8740 0.8740 0.3781
Co 0.9353 0.4370 0.1908
Co 0.4411 0.9376 0.6837
Co 0.4370 0.4370 0.1908
Co 0.9376 0.9376 0.6837
Co 0.1880 0.1880 0.4360
Co 0.6874 0.6874 0.9377
Co 0.4370 0.9353 0.1908
Co 0.9376 0.4411 0.6837
CELL_PARAMETERS angstrom
-4.8345 -0.7708 1.0172
-1.6977 -4.6514 0.6958
-0.5910 -1.1884 8.5803
! Raw total energy: -6.206 eV/atom
! DOS(E_F): 16.32 states/eV per cell
! Energy of formation: -191 meV per atom

=====

! Ho3MgCo | Alexandria | PBE | optimized geometry; values from VASP
&SYSTEM
  ibrav = 0, nat = 10, ntyp = 3
/
ATOMIC_SPECIES
Ho 164.93 Ho.upf
Mg 24.30 Mg.upf
Co 58.93 Co.upf
ATOMIC_POSITIONS crystal
Ho 0.1144 0.2288 0.4419
Ho 0.8856 0.7712 0.5581
Ho 0.5058 0.0116 0.1824
Ho 0.4942 0.9884 0.8176
Ho 0.2075 0.4151 0.7365
Ho 0.7925 0.5849 0.2635
Mg 0.8454 0.6908 0.9755
Mg 0.1546 0.3092 0.0245
Co 0.5629 0.1258 0.6151
Co 0.4371 0.8742 0.3849
CELL_PARAMETERS angstrom
3.5175 0.0000 0.0000
-1.7587 6.0928 -1.3153
0.0000 0.4482 11.6813
! Distance to the lowest polymorph of the same formula: 0 meV/atom
! Raw total energy: -4.617 eV/atom
! DOS(E_F): 8.83 states/eV per cell
! Energy of formation: -130 meV per atom